No. 1
A plane-wave DFT calculation with GGA-PBEsol was carried out for a relaxed structure of MgMo3N.

Formation energy from raw total energies   17.18 eV per formula unit
DOS at the Fermi energy   1.4292 states/eV/atom
V   90 Å³/f.u.
Total moment   0.019 μB per formula unit
VASP energy   -5.67 eV per atom

Cell lengths 4.4758, 4.4758, 4.4758 Å; angles 90.00, 90.00, 90.00 degrees
Closest atoms and distances in Å follow each position.
Space group Pm-3m (No. 221)
Inequivalent atoms, fractional coordinates:
Mg 0.0000 0.0000 0.0000 (multiplicity 1)  6 Mo 2.24
Mo 0.0000 0.0000 0.5000 (multiplicity 3)  2 Mg 2.24
N 0.5000 0.5000 0.5000 (multiplicity 1)  12 Mo 3.16

***

No. 2
A plane-wave DFT calculation with GGA-PBEsol was carried out for a relaxed structure of CdPRh2.

DOS at the Fermi energy   1.0536 states/eV/atom
Excess energy over the best structure of this formula in the dataset   0.399 eV/atom
V   58 Å³/f.u.
Energy of formation   0.103 eV per atom
Total moment   0.003 μB per formula unit
VASP energy   -5.71 eV per atom

Cell lengths 3.7062, 3.7062, 8.4970 Å; angles 90.00, 90.00, 90.00 degrees
Closest atoms and distances in Å follow each position.
Space group I-4m2 (No. 119)
Inequivalent atoms, fractional coordinates:
Cd 0.0000 0.0000 0.0000 (multiplicity 2)  8 Rh 2.62-2.82, 4 P 2.82
P 0.0000 0.5000 0.2500 (multiplicity 2)  8 Rh 2.62-2.82, 4 Cd 2.82
Rh 0.0000 0.0000 0.5000 (multiplicity 2)  4 Cd 2.62, 4 Rh 2.82, 4 P 2.82
Rh 0.0000 0.5000 0.7500 (multiplicity 2)  4 P 2.62, 4 Cd 2.82, 4 Rh 2.82

***

No. 3
A plane-wave DFT calculation with GGA-PBEsol was carried out for a relaxed structure of InSiH11C3Br3N.

DOS at the Fermi energy   0.0000 states/eV/atom
V   297 Å³/f.u.
Total moment   0.000 μB per formula unit
VASP energy   -4.80 eV per atom

Cell lengths 9.0515, 10.5366, 12.9294 Å; angles 90.00, 105.28, 90.00 degrees
Closest atoms and distances in Å follow each position.
Space group P2_1/c (No. 14)
Inequivalent atoms, fractional coordinates:
In 0.0233 0.1472 0.3032 (multiplicity 4)  1 N 2.19
Si 0.3501 0.2198 0.2138 (multiplicity 4)  1 N 1.84, 3 C 1.86
H 0.0846 0.2340 0.6376 (multiplicity 4)  1 N 1.04
H 0.1529 0.1481 0.7468 (multiplicity 4)  1 N 1.04
H 0.2592 0.0695 0.0626 (multiplicity 4)  1 C 1.10
H 0.2946 0.5113 0.6883 (multiplicity 4)  1 C 1.10
H 0.3349 0.1398 0.5567 (multiplicity 4)  1 C 1.10
H 0.4121 0.0578 0.6794 (multiplicity 4)  1 C 1.10
H 0.4133 0.7069 0.1396 (multiplicity 4)  1 C 1.10
H 0.4318 0.1351 0.4001 (multiplicity 4)  1 C 1.10
H 0.4498 0.1955 0.8984 (multiplicity 4)  1 C 1.10
H 0.4511 0.0368 0.1375 (multiplicity 4)  1 C 1.10
H 0.4713 0.6671 0.8691 (multiplicity 4)  1 C 1.10
C 0.3364 0.0645 0.1443 (multiplicity 4)  3 H 1.10
C 0.4116 0.1495 0.6381 (multiplicity 4)  3 H 1.10
C 0.4637 0.2160 0.3563 (multiplicity 4)  3 H 1.10
Br 0.0324 0.7030 0.5615 (multiplicity 4)  1 In 2.50, 1 H 2.60
Br 0.1701 0.5444 0.8864 (multiplicity 4)  1 In 2.50
Br 0.2162 0.5718 0.3298 (multiplicity 4)  1 In 2.51, 1 H 2.55
N 0.1536 0.2392 0.7157 (multiplicity 4)  2 H 1.04

***

No. 4
A plane-wave DFT calculation with GGA-PBEsol was carried out for a relaxed structure of TaTe2PbI.

Formation energy from raw total energies   1.16 eV per formula unit
DOS at the Fermi energy   1.1250 states/eV/atom
V   158 Å³/f.u.
Total moment   0.029 μB per formula unit
VASP energy   -4.84 eV per atom

Cell lengths 5.3842, 5.3842, 5.4485 Å; angles 90.00, 90.00, 90.00 degrees
Closest atoms and distances in Å follow each position.
Space group P4/mmm (No. 123)
Inequivalent atoms, fractional coordinates:
Ta 0.0000 0.0000 0.0000 (multiplicity 1)  4 Te 2.69, 2 I 2.72
Te 0.0000 0.5000 0.0000 (multiplicity 2)  2 Ta 2.69
Pb 0.5000 0.5000 0.5000 (multiplicity 1)  4 I 3.81, 8 Te 3.83
I 0.0000 0.0000 0.5000 (multiplicity 1)  2 Ta 2.72

***

No. 5
A plane-wave DFT calculation with GGA-PBEsol was carried out for a relaxed structure of Al2IrSe.

Formation energy from raw total energies   -0.72 eV per formula unit
DOS at the Fermi energy   0.3135 states/eV/atom
V   60 Å³/f.u.
Total moment   0.000 μB per formula unit
VASP energy   -5.64 eV per atom

Cell lengths 4.0148, 4.0148, 7.5031 Å; angles 90.00, 90.00, 90.00 degrees
Closest atoms and distances in Å follow each position.
Space group I4/mmm (No. 139)
Inequivalent atoms, fractional coordinates:
Al 0.0000 0.5000 0.2500 (multiplicity 4)  4 Se 2.75, 4 Ir 2.75, 4 Al 2.84
Ir 0.0000 0.0000 0.0000 (multiplicity 2)  8 Al 2.75, 4 Se 2.84
Se 0.0000 0.0000 0.5000 (multiplicity 2)  8 Al 2.75, 4 Ir 2.84

***

No. 6
A plane-wave DFT calculation with GGA-PBEsol was carried out for a relaxed structure of LaTcBr2.

Formation energy from raw total energies   -0.27 eV per formula unit
DOS at the Fermi energy   1.2284 states/eV/atom
Excess energy over the best structure of this formula in the dataset   0.383 eV/atom
V   89 Å³/f.u.
Total moment   2.179 μB per formula unit
VASP energy   -5.16 eV per atom

Cell lengths 4.1442, 4.1442, 10.4075 Å; angles 90.00, 90.00, 90.00 degrees
Closest atoms and distances in Å follow each position.
Space group I-4m2 (No. 119)
Inequivalent atoms, fractional coordinates:
La 0.0000 0.0000 0.0000 (multiplicity 2)  4 Br 2.93
Tc 0.0000 0.5000 0.2500 (multiplicity 2)  4 Br 2.93
Br 0.0000 0.0000 0.5000 (multiplicity 2)  4 La 2.93
Br 0.0000 0.5000 0.7500 (multiplicity 2)  4 Tc 2.93

***

No. 7
A plane-wave DFT calculation with GGA-PBEsol was carried out for a relaxed structure of MgAgSb2I.

Formation energy from raw total energies   2.51 eV per formula unit
DOS at the Fermi energy   1.3666 states/eV/atom
V   157 Å³/f.u.
Total moment   0.001 μB per formula unit
VASP energy   -2.68 eV per atom

Cell lengths 5.3036, 5.3036, 5.5842 Å; angles 90.00, 90.00, 90.00 degrees
Closest atoms and distances in Å follow each position.
Space group P4/mmm (No. 123)
Inequivalent atoms, fractional coordinates:
Mg 0.0000 0.0000 0.0000 (multiplicity 1)  4 I 3.75, 8 Sb 3.85
Ag 0.5000 0.5000 0.5000 (multiplicity 1)  4 Sb 2.65, 2 I 2.79
Sb 0.0000 0.5000 0.5000 (multiplicity 2)  2 Ag 2.65
I 0.5000 0.5000 0.0000 (multiplicity 1)  2 Ag 2.79

***

No. 8
A plane-wave DFT calculation with GGA-PBEsol was carried out for a relaxed structure of GaTeBr3.

Formation energy from raw total energies   -0.20 eV per formula unit
DOS at the Fermi energy   0.4210 states/eV/atom
V   141 Å³/f.u.
Total moment   2.650 μB per formula unit
VASP energy   -2.54 eV per atom

Cell lengths 5.2094, 5.2094, 5.2094 Å; angles 90.00, 90.00, 90.00 degrees
Closest atoms and distances in Å follow each position.
Space group Pm-3m (No. 221)
Inequivalent atoms, fractional coordinates:
Ga 0.0000 0.0000 0.0000 (multiplicity 1)  6 Br 2.60
Te 0.5000 0.5000 0.5000 (multiplicity 1)  12 Br 3.68
Br 0.0000 0.0000 0.5000 (multiplicity 3)  2 Ga 2.60